[1]
! Nd12Pb3O5, optimized geometry, DFT PBE; values from VASP
! Space-group type: Ia-3d
! Energy relative to the elements, uncorrected in eV per atom: -1.52
&SYSTEM
  ibrav = 0, nat = 80, ntyp = 3
/
ATOMIC_SPECIES
Nd 144.24 Nd.upf
Pb 207.20 Pb.upf
O 16.00 O.upf
ATOMIC_POSITIONS crystal
Nd 0.0084 0.1955 0.1069
Nd 0.0084 0.3128 0.9015
Nd 0.0886 0.6955 0.6872
Nd 0.0886 0.8931 0.4015
Nd 0.0985 0.6069 0.4114
Nd 0.0985 0.9916 0.6872
Nd 0.1069 0.0084 0.1955
Nd 0.1069 0.5985 0.9114
Nd 0.1872 0.1955 0.5886
Nd 0.1872 0.4916 0.5985
Nd 0.1955 0.1069 0.0084
Nd 0.1955 0.5886 0.1872
Nd 0.3045 0.3128 0.9114
Nd 0.3045 0.4916 0.3931
Nd 0.3128 0.9015 0.0084
Nd 0.3128 0.9114 0.3045
Nd 0.3931 0.3045 0.4916
Nd 0.3931 0.5886 0.9015
Nd 0.4015 0.0886 0.8931
Nd 0.4015 0.8128 0.5084
Nd 0.4114 0.0985 0.6069
Nd 0.4114 0.8128 0.8045
Nd 0.4916 0.3931 0.3045
Nd 0.4916 0.5985 0.1872
Nd 0.5084 0.4015 0.8128
Nd 0.5084 0.6069 0.6955
Nd 0.5886 0.1872 0.1955
Nd 0.5886 0.9015 0.3931
Nd 0.5985 0.1872 0.4916
Nd 0.5985 0.9114 0.1069
Nd 0.6069 0.4114 0.0985
Nd 0.6069 0.6955 0.5084
Nd 0.6872 0.0886 0.6955
Nd 0.6872 0.0985 0.9916
Nd 0.6955 0.5084 0.6069
Nd 0.6955 0.6872 0.0886
Nd 0.8045 0.4114 0.8128
Nd 0.8045 0.8931 0.9916
Nd 0.8128 0.5084 0.4015
Nd 0.8128 0.8045 0.4114
Nd 0.8931 0.4015 0.0886
Nd 0.8931 0.9916 0.8045
Nd 0.9015 0.0084 0.3128
Nd 0.9015 0.3931 0.5886
Nd 0.9114 0.1069 0.5985
Nd 0.9114 0.3045 0.3128
Nd 0.9916 0.6872 0.0985
Nd 0.9916 0.8045 0.8931
Pb 0.1250 0.2500 0.3750
Pb 0.1250 0.3750 0.7500
Pb 0.2500 0.3750 0.1250
Pb 0.2500 0.8750 0.6250
Pb 0.3750 0.1250 0.2500
Pb 0.3750 0.7500 0.1250
Pb 0.6250 0.2500 0.8750
Pb 0.6250 0.8750 0.7500
Pb 0.7500 0.1250 0.3750
Pb 0.7500 0.6250 0.8750
Pb 0.8750 0.6250 0.2500
Pb 0.8750 0.7500 0.6250
O 0.0000 0.0000 0.0000
O 0.0000 0.0000 0.5000
O 0.0000 0.5000 0.0000
O 0.0000 0.5000 0.5000
O 0.1250 0.7500 0.8750
O 0.1250 0.8750 0.2500
O 0.2500 0.1250 0.8750
O 0.2500 0.6250 0.3750
O 0.3750 0.2500 0.6250
O 0.3750 0.6250 0.7500
O 0.5000 0.0000 0.0000
O 0.5000 0.0000 0.5000
O 0.5000 0.5000 0.0000
O 0.5000 0.5000 0.5000
O 0.6250 0.3750 0.2500
O 0.6250 0.7500 0.3750
O 0.7500 0.3750 0.6250
O 0.7500 0.8750 0.1250
O 0.8750 0.1250 0.7500
O 0.8750 0.2500 0.1250
CELL_PARAMETERS angstrom
-8.1395 8.1395 8.1395
8.1395 -8.1395 8.1395
8.1395 8.1395 -8.1395

---

[2]
! Er3Ga2Fe3C, optimized geometry, DFT PBE; values from VASP
! Space-group type: P-62m
! DFT formation energy in eV/f.u.: -0.94
&SYSTEM
  ibrav = 0, nat = 9, ntyp = 4
/
ATOMIC_SPECIES
Er 167.26 Er.upf
Ga 69.72 Ga.upf
Fe 55.84 Fe.upf
C 12.01 C.upf
ATOMIC_POSITIONS crystal
Er 0.0000 0.6341 0.0000
Er 0.3659 0.3659 0.0000
Er 0.6341 0.0000 0.0000
Ga 0.3333 0.6667 0.5000
Ga 0.6667 0.3333 0.5000
Fe 0.0000 0.2044 0.5000
Fe 0.2044 0.0000 0.5000
Fe 0.7956 0.7956 0.5000
C 0.0000 0.0000 0.0000
CELL_PARAMETERS angstrom
6.8186 0.0000 0.0000
-3.4093 5.9051 0.0000
0.0000 0.0000 3.7982

---

[3]
! KIr, optimized geometry, DFT PBE; values from VASP
! Space-group type: Pmmn
! DFT formation energy in eV/f.u.: 1.12
&SYSTEM
  ibrav = 0, nat = 12, ntyp = 2
/
ATOMIC_SPECIES
K 39.10 K.upf
Ir 192.22 Ir.upf
ATOMIC_POSITIONS crystal
K 0.2500 0.0739 0.1982
K 0.2500 0.4261 0.1982
K 0.2500 0.7500 0.2969
K 0.7500 0.2500 0.7031
K 0.7500 0.5739 0.8018
K 0.7500 0.9261 0.8018
Ir 0.2500 0.0417 0.5309
Ir 0.2500 0.2500 0.4698
Ir 0.2500 0.4583 0.5309
Ir 0.7500 0.5417 0.4691
Ir 0.7500 0.7500 0.5302
Ir 0.7500 0.9583 0.4691
CELL_PARAMETERS angstrom
4.3588 0.0000 0.0000
0.0000 10.9971 0.0000
0.0000 0.0000 9.6131

---

[4]
! RbFeBi3, optimized geometry, DFT PBE; values from VASP
! Space-group type: Pm-3m
! DFT formation energy in eV/f.u.: 1.51
&SYSTEM
  ibrav = 0, nat = 5, ntyp = 3
/
ATOMIC_SPECIES
Rb 85.47 Rb.upf
Fe 55.84 Fe.upf
Bi 208.98 Bi.upf
ATOMIC_POSITIONS crystal
Rb 0.0000 0.0000 0.0000
Fe 0.5000 0.5000 0.5000
Bi 0.0000 0.5000 0.5000
Bi 0.5000 0.0000 0.5000
Bi 0.5000 0.5000 0.0000
CELL_PARAMETERS angstrom
5.3392 0.0000 0.0000
0.0000 5.3392 0.0000
0.0000 0.0000 5.3392

---

[5]
! Li2LaAgO, optimized geometry, DFT PBE; values from VASP
! Space-group type: P4/mmm
! Energy relative to the elements, uncorrected in eV per atom: -1.08
&SYSTEM
  ibrav = 0, nat = 5, ntyp = 4
/
ATOMIC_SPECIES
Li 6.94 Li.upf
La 138.91 La.upf
Ag 107.87 Ag.upf
O 16.00 O.upf
ATOMIC_POSITIONS crystal
Li 0.0000 0.5000 0.0000
Li 0.5000 0.0000 0.0000
La 0.0000 0.0000 0.5000
Ag 0.5000 0.5000 0.5000
O 0.0000 0.0000 0.0000
CELL_PARAMETERS angstrom
4.4822 0.0000 0.0000
0.0000 4.4822 0.0000
0.0000 0.0000 4.7344

---

[6]
! PmCdAu6, optimized geometry, DFT PBE; values from VASP
! Space-group type: P4/mmm
! DFT formation energy in eV/f.u.: -2.47
&SYSTEM
  ibrav = 0, nat = 8, ntyp = 3
/
ATOMIC_SPECIES
Pm 145.00 Pm.upf
Cd 112.41 Cd.upf
Au 196.97 Au.upf
ATOMIC_POSITIONS crystal
Pm 0.0000 0.0000 0.0000
Cd 0.0000 0.0000 0.5000
Au 0.0000 0.5000 0.2606
Au 0.0000 0.5000 0.7394
Au 0.5000 0.0000 0.2606
Au 0.5000 0.0000 0.7394
Au 0.5000 0.5000 0.0000
Au 0.5000 0.5000 0.5000
CELL_PARAMETERS angstrom
4.3969 0.0000 0.0000
0.0000 4.3969 0.0000
0.0000 0.0000 8.3217

---

[7]
! SmCdAgRh, optimized geometry, DFT PBE; values from VASP
! Space-group type: F-43m
! DFT formation energy in eV/f.u.: -1.36
&SYSTEM
  ibrav = 0, nat = 4, ntyp = 4
/
ATOMIC_SPECIES
Sm 150.36 Sm.upf
Cd 112.41 Cd.upf
Ag 107.87 Ag.upf
Rh 102.91 Rh.upf
ATOMIC_POSITIONS crystal
Sm 0.0000 0.0000 0.0000
Cd 0.5000 0.5000 0.5000
Ag 0.2500 0.2500 0.2500
Rh 0.7500 0.7500 0.7500
CELL_PARAMETERS angstrom
0.0000 3.4566 3.4566
3.4566 0.0000 3.4566
3.4566 3.4566 0.0000

---

[8]
! Ce2YHgC, optimized geometry, DFT PBE; values from VASP
! Space-group type: P4/mmm
! DFT formation energy in eV/f.u.: -1.37
&SYSTEM
  ibrav = 0, nat = 5, ntyp = 4
/
ATOMIC_SPECIES
Ce 140.12 Ce.upf
Y 88.91 Y.upf
Hg 200.59 Hg.upf
C 12.01 C.upf
ATOMIC_POSITIONS crystal
Ce 0.0000 0.5000 0.0000
Ce 0.5000 0.0000 0.0000
Y 0.0000 0.0000 0.5000
Hg 0.5000 0.5000 0.5000
C 0.0000 0.0000 0.0000
CELL_PARAMETERS angstrom
4.9332 0.0000 0.0000
0.0000 4.9332 0.0000
0.0000 0.0000 4.9689

---

Record order is preserved below.
Uncorrected energy: -6.176, -6.144, -4.419, -3.913, -4.389, -3.475, -4.299, -5.846 eV per atom